(1)
Entry from the Alexandria database: SmYHo2Se4 after structural relaxation (PBE).

Unit cell a=7.093 b=4.038 c=7.154 alpha=90.00 beta=108.79 gamma=90.00
Sites, in units of the cell vectors:
1 Sm 0.000 0.000 0.000
2 Y 0.500 0.500 0.000
3 Ho 0.000 0.500 0.500
4 Ho 0.500 0.000 0.500
5 Se 0.251 0.000 0.744
6 Se 0.256 0.500 0.259
7 Se 0.744 0.500 0.741
8 Se 0.749 0.000 0.256

Computed properties:
Fermi-level density of states (states/eV/cell): 4.6
Crystal system: monoclinic
Formation energy from raw total energies (eV per atom): -1.755
Space-group type: P2/m, No. 10
Total DFT energy (no corrections) (eV per atom): -6.039


(2)
Entry from the Alexandria database: HfScU2P4 after structural relaxation (PBE).

Unit cell a=6.604 b=3.810 c=6.675 alpha=90.00 beta=109.20 gamma=90.00
Sites, in units of the cell vectors:
1 Hf 0.000 0.000 0.000
2 Sc 0.500 0.500 0.000
3 U 0.000 0.500 0.500
4 U 0.500 0.000 0.500
5 P 0.244 0.500 0.236
6 P 0.253 0.000 0.764
7 P 0.747 0.000 0.236
8 P 0.756 0.500 0.764

Computed properties:
Fermi-level density of states (states/eV/cell): 9.7
Formation energy (eV per atom): -1.214
Crystal system: monoclinic
Space-group type: P2/m, No. 10
Total DFT energy (no corrections) (eV per atom): -8.776


(3)
Entry from the Alexandria database: SrTaBe2 after structural relaxation (PBE).

Unit cell a=3.069 b=3.492 c=6.725 alpha=90.00 beta=90.09 gamma=90.00
Sites, in units of the cell vectors:
1 Sr 0.000 0.000 0.000
2 Ta 0.000 0.000 0.500
3 Be 0.500 0.500 0.336
4 Be 0.500 0.500 0.664

Computed properties:
Fermi-level density of states (states/eV/cell): 2.2
Formation energy (eV per atom): 0.364
Crystal system: monoclinic
E above lowest polymorph (eV/f.u.): 0.00
Space-group type: P2/m, No. 10
Total DFT energy (no corrections) (eV per atom): -4.882


(4)
Entry from the Alexandria database: MgTcOs2 after structural relaxation (PBE).

Unit cell a=2.757 b=2.757 c=8.043 alpha=90.00 beta=90.00 gamma=90.00
Sites, in units of the cell vectors:
1 Mg 0.000 0.000 0.000
2 Tc 0.500 0.500 0.726
3 Os 0.000 0.000 0.485
4 Os 0.500 0.500 0.260

Computed properties:
Fermi-level density of states (states/eV/cell): 5.8
Formation energy (eV per atom): 0.224
Crystal system: tetragonal
Space-group type: P4mm, No. 99
Total DFT energy (no corrections) (eV per atom): -8.381


(5)
Entry from the Alexandria database: La2HgRuPb after structural relaxation (PBE).

Unit cell a=5.311 b=5.311 c=5.335 alpha=90.00 beta=90.00 gamma=90.00
Sites, in units of the cell vectors:
1 La 0.000 0.500 0.000
2 La 0.500 0.000 0.000
3 Hg 0.000 0.000 0.500
4 Ru 0.000 0.000 0.000
5 Pb 0.500 0.500 0.500

Computed properties:
Fermi-level density of states (states/eV/cell): 4.0
Formation energy (eV per atom): -0.287
Crystal system: tetragonal
E above lowest polymorph (eV/f.u.): 0.17
Space-group type: P4/mmm, No. 123
Total DFT energy (no corrections) (eV per atom): -4.915


(6)
Entry from the Alexandria database: LaTbSm2Ho4 after structural relaxation (PBE).

Unit cell a=7.167 b=7.167 c=12.362 alpha=106.77 beta=106.77 gamma=60.11
Sites, in units of the cell vectors:
1 La 0.250 0.250 0.000
2 La 0.750 0.750 0.000
3 Tb 0.749 0.251 0.500
4 Tb 0.750 0.250 0.000
5 Sm 0.249 0.251 0.500
6 Sm 0.249 0.751 0.500
7 Sm 0.250 0.750 0.000
8 Sm 0.749 0.751 0.500
9 Ho 0.000 0.002 0.252
10 Ho 0.000 0.501 0.252
11 Ho 0.499 0.000 0.748
12 Ho 0.499 0.500 0.748
13 Ho 0.500 0.001 0.252
14 Ho 0.500 0.501 0.252
15 Ho 0.998 0.000 0.748
16 Ho 0.999 0.500 0.748

Computed properties:
Fermi-level density of states (states/eV/cell): 21.0
Formation energy (eV per atom): 0.017
Crystal system: monoclinic
Space-group type: C2, No. 5
Total DFT energy (no corrections) (eV per atom): -4.647


(7)
Entry from the Alexandria database: NaCeGaPb after structural relaxation (PBE).

Unit cell a=7.494 b=7.494 c=7.494 alpha=90.00 beta=90.00 gamma=90.00
Sites, in units of the cell vectors:
1 Na 0.000 0.000 0.000
2 Na 0.000 0.500 0.500
3 Na 0.500 0.000 0.500
4 Na 0.500 0.500 0.000
5 Ce 0.000 0.000 0.500
6 Ce 0.000 0.500 0.000
7 Ce 0.500 0.000 0.000
8 Ce 0.500 0.500 0.500
9 Ga 0.250 0.250 0.250
10 Ga 0.250 0.750 0.750
11 Ga 0.750 0.250 0.750
12 Ga 0.750 0.750 0.250
13 Pb 0.250 0.250 0.750
14 Pb 0.250 0.750 0.250
15 Pb 0.750 0.250 0.250
16 Pb 0.750 0.750 0.750

Computed properties:
Fermi-level density of states (states/eV/cell): 25.0
Formation energy (eV per atom): -0.228
Crystal system: cubic
Space-group type: F-43m, No. 216
Total DFT energy (no corrections) (eV per atom): -3.725


(8)
Entry from the Alexandria database: ZrTaBr2F after structural relaxation (PBE).

Unit cell a=5.103 b=5.103 c=3.944 alpha=90.00 beta=90.00 gamma=90.00
Sites, in units of the cell vectors:
1 Zr 0.000 0.000 0.000
2 Ta 0.500 0.500 0.000
3 Br 0.000 0.500 0.500
4 Br 0.500 0.000 0.500
5 F 0.500 0.500 0.500

Computed properties:
Fermi-level density of states (states/eV/cell): 5.7
Crystal system: tetragonal
Formation energy from raw total energies (eV per atom): -0.063
Space-group type: P4/mmm, No. 123
Total DFT energy (no corrections) (eV per atom): -5.187


(9)
Entry from the Alexandria database: K2SrMoOs after structural relaxation (PBE).

Unit cell a=6.015 b=6.015 c=6.045 alpha=90.00 beta=90.00 gamma=90.00
Sites, in units of the cell vectors:
1 K 0.000 0.500 0.000
2 K 0.500 0.000 0.000
3 Sr 0.000 0.000 0.500
4 Mo 0.000 0.000 0.000
5 Os 0.500 0.500 0.500

Computed properties:
Fermi-level density of states (states/eV/cell): 9.8
Formation energy (eV per atom): 2.299
Crystal system: tetragonal
Space-group type: P4/mmm, No. 123
Total DFT energy (no corrections) (eV per atom): -2.888


(10)
Entry from the Alexandria database: TmMgAgRh after structural relaxation (PBE).

Unit cell a=6.732 b=6.732 c=6.732 alpha=90.00 beta=90.00 gamma=90.00
Sites, in units of the cell vectors:
1 Tm 0.000 0.000 0.000
2 Tm 0.000 0.500 0.500
3 Tm 0.500 0.000 0.500
4 Tm 0.500 0.500 0.000
5 Mg 0.000 0.000 0.500
6 Mg 0.000 0.500 0.000
7 Mg 0.500 0.000 0.000
8 Mg 0.500 0.500 0.500
9 Ag 0.250 0.250 0.750
10 Ag 0.250 0.750 0.250
11 Ag 0.750 0.250 0.250
12 Ag 0.750 0.750 0.750
13 Rh 0.250 0.250 0.250
14 Rh 0.250 0.750 0.750
15 Rh 0.750 0.250 0.750
16 Rh 0.750 0.750 0.250

Computed properties:
Fermi-level density of states (states/eV/cell): 9.2
Formation energy (eV per atom): -0.501
Crystal system: cubic
Space-group type: F-43m, No. 216
Total DFT energy (no corrections) (eV per atom): -4.568


(11)
Entry from the Alexandria database: LiVRh3 after structural relaxation (PBE).

Unit cell a=10.930 b=10.930 c=4.611 alpha=90.75 beta=90.75 gamma=14.58
Sites, in units of the cell vectors:
1 Li 0.249 0.249 0.256
2 Li 0.751 0.751 0.744
3 V 0.060 0.060 0.267
4 V 0.940 0.940 0.733
5 Rh 0.149 0.149 0.597
6 Rh 0.351 0.351 0.907
7 Rh 0.461 0.461 0.247
8 Rh 0.539 0.539 0.753
9 Rh 0.649 0.649 0.093
10 Rh 0.851 0.851 0.403

Computed properties:
Fermi-level density of states (states/eV/cell): 9.8
Formation energy (eV per atom): -0.280
Crystal system: monoclinic
E above lowest polymorph (eV/f.u.): 0.00
Space-group type: C2/m, No. 12
Total DFT energy (no corrections) (eV per atom): -6.897


(12)
Entry from the Alexandria database: TlHg2H after structural relaxation (PBE).

Unit cell a=3.523 b=4.136 c=13.977 alpha=90.00 beta=90.07 gamma=90.08
Sites, in units of the cell vectors:
1 Tl 0.250 0.250 0.098
2 Tl 0.750 0.750 0.902
3 Hg 0.248 0.250 0.736
4 Hg 0.250 0.750 0.564
5 Hg 0.750 0.250 0.436
6 Hg 0.752 0.750 0.264
7 H 0.250 0.750 0.009
8 H 0.750 0.250 0.991

Computed properties:
Fermi-level density of states (states/eV/cell): 0.8
Crystal system: triclinic
E above lowest polymorph (eV/f.u.): 0.00
Space-group type: P-1, No. 2
Total DFT energy (no corrections) (eV per atom): -1.417